Compound: Rb4H2IBr
Source: Alexandria
Functional: GGA-PBE
Structure: relaxed

Energy, eV/atom: -2.5815

a = 8.1492 Å, b = 4.6978 Å, c = 8.2842 Å
α = 90.00°, β = 109.05°, γ = 90.00°
Positions (direct):
Rb  0.2269  0.0000  0.2082
Rb  0.2512  0.5000  0.7840
Rb  0.7488  0.5000  0.2160
Rb  0.7731  0.0000  0.7918
H  0.0000  0.5000  0.0000
H  0.5000  0.0000  0.0000
I  0.5000  0.5000  0.5000
Br  0.0000  0.0000  0.5000

Compound: Cs5Cd2Ag2
Source: Alexandria
Functional: GGA-PBE
Structure: relaxed

ΔH_f (0 K), meV per atom: 33
Energy, eV/atom: -1.2781

a = 12.9594 Å, b = 12.9594 Å, c = 12.9594 Å
α = 64.74°, β = 132.57°, γ = 138.62°
Positions (direct):
Cs  0.1253  0.4853  0.9260
Cs  0.1253  0.6993  0.1400
Cs  0.1727  0.0677  0.2404
Cs  0.1727  0.4323  0.6050
Cs  0.5329  0.3839  0.6490
Cs  0.5593  0.1993  0.0740
Cs  0.5593  0.9853  0.8600
Cs  0.7349  0.8839  0.3510
Cs  0.8273  0.5677  0.3950
Cs  0.8273  0.9323  0.7596
Cd  0.0698  0.8212  0.7486
Cd  0.0726  0.3212  0.2514
Cd  0.3681  0.3681  0.0000
Cd  0.3681  0.8681  0.5000
Ag  0.6201  0.0758  0.4153
Ag  0.6201  0.7048  0.0443
Ag  0.6606  0.2048  0.5847
Ag  0.6606  0.5758  0.9557

Compound: NaH2F6
Source: Alexandria
Functional: GGA-PBE
Structure: relaxed

Energy, eV/atom: -3.4378

a = 6.3685 Å, b = 6.3685 Å, c = 7.1971 Å
α = 104.05°, β = 104.05°, γ = 106.18°
Positions (direct):
Na  0.0485  0.9515  0.7500
Na  0.9515  0.0485  0.2500
H  0.0538  0.6448  0.3527
H  0.3552  0.9462  0.1473
H  0.6448  0.0538  0.8527
H  0.9462  0.3552  0.6473
F  0.0224  0.7883  0.4090
F  0.0853  0.4378  0.2689
F  0.2117  0.9776  0.0910
F  0.3906  0.4991  0.4139
F  0.4378  0.0853  0.7689
F  0.4991  0.3906  0.9139
F  0.5009  0.6094  0.0861
F  0.5622  0.9147  0.2311
F  0.6094  0.5009  0.5861
F  0.7883  0.0224  0.9090
F  0.9147  0.5622  0.7311
F  0.9776  0.2117  0.5910